# Ta2MnPb GGA-PBE relaxed
# E, eV per atom: -8.861
# Volume, Å³ per cell: 73.2
# Formation enthalpy at 0 K, eV/atom: 0.285
# Total magnetic moment, μB/cell: 0.000
data_Ta2MnPb
_chemical_formula_sum 'Ta2 Mn1 Pb1'
_cell_length_a 3.0246
_cell_length_b 3.0246
_cell_length_c 8.0014
_cell_angle_alpha 90.00
_cell_angle_beta 90.00
_cell_angle_gamma 90.00
_space_group_name_H-M_alt 'P 4/m m m'
_space_group_IT_number 123
_space_group_name_Hall '-P 4 2'
loop_
_atom_site_label
_atom_site_fract_x
_atom_site_fract_y
_atom_site_fract_z
Ta1 0.0000 0.0000 0.1925
Mn1 0.5000 0.5000 0.0000
Pb1 0.5000 0.5000 0.5000